Record 1
The following is a PBE calculation of an optimized crystal structure of Cs3NiSb, from Alexandria via LeMat-Bulk.

a = 5.9586 Å, b = 5.9586 Å, c = 5.9586 Å
α = 90.00°, β = 90.00°, γ = 90.00°
With the nearest neighbours (Å) after each atom.
Space group Pm-3m (No. 221)
Symmetry-distinct sites (fractional):
Cs1 0.0000 0.0000 0.5000 (multiplicity 3)  2 Ni 2.98
Ni1 0.0000 0.0000 0.0000 (multiplicity 1)  6 Cs 2.98
Sb1 0.5000 0.5000 0.5000 (multiplicity 1)  12 Cs 4.21

***

Record 2
The following is a PBE calculation of an optimized crystal structure of Cs2NiSb, from Alexandria via LeMat-Bulk.

a = 13.3415 Å, b = 13.3415 Å, c = 4.7977 Å
α = 90.00°, β = 90.00°, γ = 90.00°
With the nearest neighbours (Å) after each atom.
Space group I-42d (No. 122)
Symmetry-distinct sites (fractional):
Cs1 0.0679 0.2500 0.1250 (multiplicity 8)  2 Ni 3.51, 2 Sb 3.90
Ni1 0.0000 0.0000 0.0000 (multiplicity 4)  2 Sb 2.40
Sb1 0.0000 0.0000 0.5000 (multiplicity 4)  2 Ni 2.40

***

Spin magnetization / μB per cell: 1.12 0.00
Uncorrected energy / eV per atom: -2.069 -2.984
DOS(E_F) / states/eV/atom: 1.2671 0.8745